Record 1
Compound: Ba2AcTlO5
Source: Alexandria
Functional: PBE
Structure: relaxed

Results
- crystal system = orthorhombic
- ΔE_f (raw) (eV/atom) = -2.238

POSCAR file:
```
Ba2AcTlO5
1.0
-3.274 -1.796 0.665
0.568 0.052 -7.876
6.124 -11.024 0.369
O Tl Ac Ba
10 2 2 4
Direct
0.267 0.533 0.362
0.733 0.467 0.862
0.385 0.771 0.070
0.718 0.436 0.127
0.615 0.229 0.570
0.930 0.859 0.526
0.070 0.141 0.026
0.506 0.013 0.304
0.494 0.987 0.804
0.282 0.564 0.627
0.503 0.007 0.975
0.497 0.993 0.475
0.763 0.527 0.494
0.237 0.473 0.994
0.126 0.252 0.242
0.126 0.252 0.724
0.874 0.748 0.742
0.874 0.748 0.224
```

---

Record 2
Compound: Ba2AcTl2O6
Source: Alexandria
Functional: PBE
Structure: relaxed

Results
- crystal system = trigonal
- ΔE_f (raw) (eV/atom) = -1.764

POSCAR file:
```
Ba2AcTl2O6
1.0
-6.122 -2.457 -0.790
-3.242 -2.575 5.196
-5.628 4.143 2.790
Tl Ac O Ba
2 1 6 2
Direct
0.407 0.407 0.778
0.593 0.593 0.222
0.000 0.000 0.000
0.207 0.757 0.280
0.243 0.793 0.720
0.757 0.207 0.280
0.793 0.243 0.720
0.757 0.757 0.280
0.243 0.243 0.720
0.804 0.804 0.588
0.196 0.196 0.412
```

---

Record 3
Compound: Ba2AcTm3O8
Source: Alexandria
Functional: PBE
Structure: relaxed

Results
- crystal system = trigonal
- ΔE_f (raw) (eV/atom) = -3.199

POSCAR file:
```
Ba2AcTm3O8
1.0
6.984 0.000 0.000
3.492 6.049 0.000
3.492 2.016 6.131
O Tm Ba Ac
8 3 2 1
Direct
0.690 0.248 0.814
0.755 0.289 0.200
0.289 0.755 0.200
0.248 0.690 0.814
0.269 0.269 0.192
0.755 0.755 0.200
0.735 0.735 0.794
0.248 0.248 0.814
0.498 0.006 0.999
0.006 0.498 0.999
0.498 0.498 0.999
0.122 0.122 0.635
0.499 0.499 0.504
0.881 0.881 0.356
```

---

Record 4
Compound: Ba3Ac3TmO8
Source: Alexandria
Functional: PBE
Structure: relaxed

Results
- crystal system = trigonal
- ΔE_f (raw) (eV/atom) = -2.813

POSCAR file:
```
Ba3Ac3TmO8
1.0
7.520 0.000 0.000
-3.760 6.513 -0.023
0.000 -4.320 6.388
Ba Ac O Tm
3 3 8 1
Direct
0.000 0.000 0.000
0.000 0.500 0.000
0.500 0.500 0.000
0.500 0.000 0.500
0.500 0.500 0.500
0.000 0.500 0.500
0.214 0.428 0.691
0.786 0.572 0.309
0.763 0.977 0.691
0.237 0.023 0.309
0.786 0.023 0.309
0.738 0.477 0.715
0.262 0.523 0.285
0.214 0.977 0.691
0.000 0.000 0.500
```

---

Record 5
Compound: Ba2AcTmO4
Source: Alexandria
Functional: PBE
Structure: relaxed

Results
- crystal system = monoclinic
- ΔE_f (raw) (eV/atom) = -2.664

POSCAR file:
```
Ba2AcTmO4
1.0
3.669 0.000 0.000
0.000 6.450 0.138
0.000 -2.231 6.326
O Ac Tm Ba
4 1 1 2
Direct
0.500 0.203 0.184
0.500 0.797 0.816
0.000 0.763 0.193
0.000 0.237 0.807
0.500 0.500 0.000
0.000 0.000 0.000
0.000 0.500 0.500
0.500 0.000 0.500
```

---

Record 6
Compound: BaAcTmO4
Source: Alexandria
Functional: PBE
Structure: relaxed

Results
- crystal system = orthorhombic
- ΔE_f (raw) (eV/atom) = -3.140

POSCAR file:
```
BaAcTmO4
1.0
6.094 0.000 0.000
0.000 6.152 0.000
-3.047 0.000 6.618
Ac Tm O Ba
2 2 8 2
Direct
0.112 0.250 0.224
0.888 0.750 0.776
0.250 0.750 0.499
0.750 0.250 0.501
0.067 0.750 0.135
0.933 0.250 0.865
0.500 0.000 0.500
0.414 0.750 0.828
0.000 0.000 0.500
0.000 0.500 0.500
0.586 0.250 0.172
0.500 0.500 0.500
0.397 0.250 0.794
0.603 0.750 0.206
```

---

Record 7
Compound: BaAc2UO8
Source: Alexandria
Functional: PBE
Structure: relaxed

Results
- crystal system = monoclinic
- ΔE_f (raw) (eV/atom) = -2.916

POSCAR file:
```
BaAc2UO8
1.0
-1.192 3.582 -1.820
-5.258 -0.117 2.081
2.657 4.422 6.963
U O Ac Ba
1 8 2 1
Direct
0.000 0.000 0.000
0.960 0.771 0.800
0.518 0.365 0.500
0.563 0.217 0.000
0.040 0.229 0.200
0.040 0.229 0.800
0.482 0.635 0.500
0.437 0.783 0.000
0.960 0.771 0.200
0.500 0.500 0.785
0.500 0.500 0.215
0.000 0.000 0.500
```

---

Record 8
Compound: BaAc2UO6
Source: Alexandria
Functional: PBE
Structure: relaxed

Results
- crystal system = tetragonal
- ΔE_f (raw) (eV/atom) = -2.979

POSCAR file:
```
BaAc2UO6
1.0
-5.265 -1.557 -2.632
-1.419 -3.062 4.650
-2.513 4.635 2.284
O Ba U Ac
6 1 1 2
Direct
0.230 0.000 0.000
0.752 0.768 0.768
0.752 0.232 0.232
0.752 0.768 0.232
0.752 0.232 0.768
0.111 0.500 0.500
0.524 0.500 0.500
0.589 0.000 0.000
0.992 0.000 0.500
0.992 0.500 0.000
```

---

Record 9
Compound: Ba4AcU3O12
Source: Alexandria
Functional: PBE
Structure: relaxed

Results
- crystal system = cubic
- ΔE_f (raw) (eV/atom) = -3.045

POSCAR file:
```
Ba4AcU3O12
1.0
-2.056 -7.372 -1.681
0.531 0.856 7.771
-5.410 4.925 -2.807
O U Ba Ac
12 3 4 1
Direct
0.250 0.500 0.750
0.750 0.250 0.500
0.734 0.000 0.734
0.734 0.734 0.000
0.250 0.750 0.500
0.266 0.000 0.266
0.500 0.250 0.750
0.500 0.750 0.250
0.000 0.266 0.266
0.000 0.734 0.734
0.266 0.266 0.000
0.750 0.500 0.250
0.500 0.500 0.000
0.000 0.500 0.500
0.500 0.000 0.500
0.500 0.000 0.000
0.500 0.500 0.500
0.000 0.500 0.000
0.000 0.000 0.500
0.000 0.000 0.000
```

---

Record 10
Compound: Ba3Ac3UO8
Source: Alexandria
Functional: PBE
Structure: relaxed

Results
- crystal system = trigonal
- ΔE_f (raw) (eV/atom) = -2.709

POSCAR file:
```
Ba3Ac3UO8
1.0
-6.870 -0.557 3.307
5.890 -4.044 2.718
-0.136 7.709 1.015
O Ba U Ac
8 3 1 3
Direct
0.798 0.024 0.322
0.798 0.597 0.322
0.733 0.467 0.700
0.774 0.976 0.678
0.267 0.533 0.300
0.202 0.403 0.678
0.202 0.976 0.678
0.226 0.024 0.322
0.000 0.000 0.000
0.000 0.500 0.000
0.500 0.500 0.000
0.000 0.000 0.500
0.000 0.500 0.500
0.500 0.000 0.500
0.500 0.500 0.500
```

---

Record 11
Compound: Ba3AcU2O9
Source: Alexandria
Functional: PBE
Structure: relaxed

Results
- crystal system = trigonal
- ΔE_f (raw) (eV/atom) = -3.058

POSCAR file:
```
Ba3AcU2O9
1.0
6.355 0.000 0.000
-3.177 5.504 0.000
0.000 0.000 8.122
O Ac Ba U
9 1 3 2
Direct
0.170 0.830 0.305
0.340 0.170 0.695
0.830 0.170 0.695
0.170 0.340 0.305
0.500 0.000 0.000
0.830 0.660 0.695
0.000 0.500 0.000
0.500 0.500 0.000
0.660 0.830 0.305
0.000 0.000 0.500
0.333 0.667 0.714
0.667 0.333 0.286
0.000 0.000 0.000
0.667 0.333 0.836
0.333 0.667 0.164
```

---

Record 12
Compound: Ba2AcUO6
Source: Alexandria
Functional: PBE
Structure: relaxed

Results
- crystal system = monoclinic
- ΔE_f (raw) (eV/atom) = -3.162

POSCAR file:
```
Ba2AcUO6
1.0
6.372 0.000 -0.041
0.000 6.444 0.000
-0.004 0.000 9.047
Ac O Ba U
2 12 4 2
Direct
0.500 0.000 0.000
0.000 0.500 0.500
0.908 0.533 0.231
0.308 0.729 0.446
0.770 0.805 0.547
0.270 0.695 0.047
0.692 0.271 0.554
0.192 0.229 0.054
0.808 0.771 0.946
0.408 0.967 0.731
0.592 0.033 0.269
0.092 0.467 0.769
0.230 0.195 0.453
0.730 0.305 0.953
0.990 0.034 0.750
0.010 0.966 0.250
0.510 0.534 0.750
0.490 0.466 0.250
0.000 0.500 0.000
0.500 0.000 0.500
```